Model w:
## Cd2GeAu2 (PBE)

Data for a relaxed Cd2GeAu2 crystal.

Fermi-level density of states = 1.9 states/eV/cell
Calculated volume = 21.9 Å³ per atom

a = 7.8277 Å, b = 7.8277 Å, c = 7.8277 Å
α = 151.41°, β = 151.41°, γ = 40.88°
Fractional coordinates of all 5 atoms:
Cd (0.0999, 0.0999, 0.0000)
Cd (0.9001, 0.9001, 0.0000)
Ge (0.5000, 0.5000, 0.0000)
Au (0.2500, 0.7500, 0.5000)
Au (0.7500, 0.2500, 0.5000)

Model x:
## Cd2GeAu2 (PBE)

Data for a relaxed Cd2GeAu2 crystal.

Fermi-level density of states = 1.7 states/eV/cell
Calculated volume = 21.7 Å³ per atom

a = 7.3675 Å, b = 7.3675 Å, c = 7.3675 Å
α = 148.57°, β = 148.57°, γ = 45.04°
Fractional coordinates of all 5 atoms:
Cd (0.2500, 0.7500, 0.5000)
Cd (0.7500, 0.2500, 0.5000)
Ge (0.0000, 0.0000, 0.0000)
Au (0.4017, 0.4017, 0.0000)
Au (0.5983, 0.5983, 0.0000)

Which is most stable? The ranking, best first, is model w, model x.